LiNi4Cl: relaxed, PBE-GGA.

Unit cell a=4.8674 b=4.8674 c=4.8674 alpha=60.00 beta=60.00 gamma=60.00
Closest atoms and distances in Å follow each position.
Positions (direct):
1 Li 0.0000 0.0000 0.0000  12 Ni 2.85, 4 Cl 2.98
2 Ni 0.6259 0.6259 0.1223  6 Ni 2.42-2.45
3 Ni 0.6259 0.1223 0.6259  6 Ni 2.42-2.45
4 Ni 0.6259 0.6259 0.6259  6 Ni 2.42-2.45
5 Ni 0.1223 0.6259 0.6259  6 Ni 2.42-2.45
6 Cl 0.2500 0.2500 0.2500  12 Ni 2.86, 4 Li 2.98

**ΔE_f (raw)**: 2.13 eV per formula unit
**E_tot**: -4.127 eV per atom